A plane-wave DFT calculation with PBE-GGA was carried out for La2AlHg after structural relaxation. Values from VASP.

```
&SYSTEM
  ibrav = 0, nat = 4, ntyp = 3
/
ATOMIC_SPECIES
Al 26.98 Al.upf
La 138.91 La.upf
Hg 200.59 Hg.upf
CELL_PARAMETERS angstrom
-4.9936 1.7720 -3.5117
-1.3241 -3.3546 -5.2346
0.7799 -0.3541 6.2987
ATOMIC_POSITIONS angstrom
Al -2.9400 -0.7365 -4.0702
La -0.0992 -0.0248 -0.1373
La -3.5994 0.3350 -0.6729
Hg -2.0580 -2.3018 -1.9404
```

Space-group type: No. 44
Crystal system: orthorhombic
DOS(E_F) in states/eV/cell: 4.6
Calculated density in g/cm3: 7.528
Electronic total energy in eV per cell: -15.425
E above lowest polymorph in meV per atom: 56.8
Formation energy in meV per atom: -381

A plane-wave DFT calculation with PBE-GGA was carried out for RbRhSe2 after structural relaxation. Values from VASP.

```
&SYSTEM
  ibrav = 0, nat = 4, ntyp = 3
/
ATOMIC_SPECIES
Se 78.96 Se.upf
Rb 85.47 Rb.upf
Rh 102.91 Rh.upf
CELL_PARAMETERS angstrom
-0.6264 0.0886 4.1581
-4.1292 -0.5163 -0.6110
0.6772 -5.6797 0.2231
ATOMIC_POSITIONS angstrom
Se -2.0392 -3.0537 1.8851
Se 0.0000 0.0000 0.0000
Rb 0.3386 -2.8398 0.1115
Rh -2.3778 -0.2138 1.7736
```

Space-group type: No. 123
Crystal system: tetragonal
DOS(E_F) in states/eV/cell: 5.9
Calculated density in g/cm3: 5.679
Electronic total energy in eV per cell: -13.903
ΔE_f (raw) in meV/atom: 346.2

A plane-wave DFT calculation with PBE-GGA was carried out for AlH20RuCl6O10 after structural relaxation. Values from VASP.

```
&SYSTEM
  ibrav = 0, nat = 76, ntyp = 5
/
ATOMIC_SPECIES
Ru 101.07 Ru.upf
H 1.01 H.upf
Cl 35.45 Cl.upf
O 16.00 O.upf
Al 26.98 Al.upf
CELL_PARAMETERS angstrom
-4.7707 2.1693 -4.6142
-1.3126 -10.1010 -2.0589
-8.6194 -0.6355 8.6129
ATOMIC_POSITIONS angstrom
Ru -0.6563 -5.0505 -1.0294
H -8.4324 -9.4786 4.8685
H -5.1178 -3.8517 2.2647
Cl -6.6707 -0.9580 3.6552
H -8.4513 -5.7931 -0.8093
O -12.0400 0.3368 3.3633
H -6.0289 -6.4123 0.5071
H -6.2526 -2.1705 0.0069
H -7.3121 -5.9480 2.9817
H -4.8194 -7.5712 -4.4094
O -7.8942 -5.6201 2.2261
H -7.0687 -9.8386 3.2910
O -9.9739 -0.7126 4.7107
H -6.2703 0.9115 -2.9287
H -4.0367 -4.7259 -1.9403
Cl -2.4347 -3.4549 -0.9326
Cl -8.0320 -7.6092 -1.7154
H -9.9571 -1.6631 4.3828
Cl -10.2044 -6.5624 5.5869
H -10.6660 -3.8413 3.8801
Ru -6.6950 0.7669 1.9994
O -6.4693 -6.7168 4.2141
Cl -12.2680 -5.1122 2.8725
H -2.4263 -8.1510 -0.8111
H -7.6339 1.2715 -1.3511
O -8.6966 -3.1364 1.6370
H -7.9763 -0.8796 -2.2200
Cl -4.4983 -2.0048 -3.6471
H -1.6655 -1.5512 -1.2142
O -4.8371 -7.2830 -5.3765
H -6.7263 -7.6875 4.1599
H -9.2863 -3.7542 4.6730
H -11.0523 -7.6260 0.0619
O -4.8689 -5.2531 -2.0283
O -2.9139 -1.3673 2.3940
H -4.7456 -6.9040 -2.4429
O -11.7888 -7.1998 -0.4542
H -9.6296 -8.4879 5.3933
Cl -6.7981 -4.3160 -4.2813
H -6.2513 -2.7740 2.7491
O -9.8337 -3.3141 3.9682
H -11.2612 0.0235 3.9224
O -6.0061 -5.4307 0.3028
Cl -8.6235 -0.1832 1.0018
H -5.4164 -4.8129 -2.7332
H -3.1121 -4.3443 1.4797
H -12.2764 -0.4161 2.7510
O -6.8084 -2.9470 -0.2863
H -5.5621 -8.2665 -2.4480
H -9.5848 -4.7155 -0.3249
Al -7.3513 -4.2836 0.9699
Al 0.0000 0.0000 0.0000
H -11.5906 -4.2228 0.4601
O -8.2334 -1.8503 -2.2743
O -5.3489 0.8803 -3.3593
O -4.7288 -7.8545 -2.7709
Cl -5.2335 -0.4591 0.5311
H -9.1406 -0.3006 4.3879
O -9.3537 -9.4475 5.2991
H -8.4500 -6.3966 1.9329
H -3.4415 -8.5906 -1.9826
O -9.8656 -1.2841 7.3163
Cl -6.0791 -8.3839 0.9380
H -3.6503 -0.9412 1.8780
H -7.3906 -2.6192 -1.0419
H -5.0730 -0.0793 -3.4535
O -6.1035 -3.6348 2.2649
O -8.5991 -4.9323 -0.3251
H -9.1219 -3.2668 2.5521
H -5.5808 -5.3003 -0.6123
H -9.8833 -0.9959 6.3492
H -8.6738 -2.1548 1.4327
H -13.0372 -7.0159 3.1540
Cl -7.9045 -4.2511 6.2211
Cl -9.4692 -8.1081 1.4087
O -2.6627 -8.9040 -1.4235
```

Space-group type: No. 14
Crystal system: monoclinic
DOS(E_F) in states/eV/cell: 18.4
Calculated density in g/cm3: 1.961
Electronic total energy in eV per cell: -365.186

A plane-wave DFT calculation with PBE-GGA was carried out for Ag2BrO after structural relaxation. Values from VASP.

```
&SYSTEM
  ibrav = 0, nat = 4, ntyp = 3
/
ATOMIC_SPECIES
Br 79.90 Br.upf
O 16.00 O.upf
Ag 107.87 Ag.upf
CELL_PARAMETERS angstrom
-0.6347 -2.3932 3.9070
-1.2917 2.1852 3.8667
-4.2685 -0.5977 1.6784
ATOMIC_POSITIONS angstrom
Br -3.0974 -0.4028 4.7261
O 0.0000 0.0000 0.0000
Ag -4.6462 -0.6043 7.0891
Ag -1.5487 -0.2014 2.3630
```

Space-group type: No. 225
Crystal system: cubic
DOS(E_F) in states/eV/cell: 8.7
Calculated density in g/cm3: 7.395
Electronic total energy in eV per cell: -11.146
ΔE_f (raw) in meV/atom: 297.0
E above lowest polymorph in meV per atom: 355.6